Record 1
Below is crystalline ScGa2Au at its relaxed geometry, with properties calculated at the PBE level.

a b c (Å): 4.664 4.664 4.664
angles (deg): 60.00 60.00 60.00
Element x y z (fractional)
Sc1 0.000 0.000 0.000
Ga1 0.250 0.250 0.250
Ga2 0.750 0.750 0.750
Au1 0.500 0.500 0.500

Computed properties:
The formation energy is -394.6 meV/atom. The space group is Fm-3m (225). The calculation puts the volume at 17.93 A^3/atom.

---

Record 2
Below is crystalline CrCuIrRh at its relaxed geometry, with properties calculated at the PBE level.

a b c (Å): 4.226 4.226 4.226
angles (deg): 60.00 60.00 60.00
Element x y z (fractional)
Cr1 0.000 0.000 0.000
Cu1 0.500 0.500 0.500
Ir1 0.750 0.750 0.750
Rh1 0.250 0.250 0.250

Computed properties:
The formation energy is 22.9 meV/atom. The space group is F-43m (216). The calculation puts the volume at 13.34 A^3/atom.

---

Record 3
Below is crystalline SrRe2Pt at its relaxed geometry, with properties calculated at the PBE level.

a b c (Å): 3.890 3.890 4.940
angles (deg): 90.00 90.00 90.00
Element x y z (fractional)
Sr1 0.000 0.000 0.000
Re1 0.000 0.500 0.500
Re2 0.500 0.000 0.500
Pt1 0.500 0.500 0.000

Computed properties:
The formation energy is 827.1 meV/atom. The space group is P4/mmm (123). The calculation puts the energy above the most stable polymorph in this dataset at 584.0 meV/atom. The calculation puts the volume at 18.69 A^3/atom.

---

Record 4
Below is crystalline Pa8Si2Sb at its relaxed geometry, with properties calculated at the PBE level.

a b c (Å): 7.597 7.597 5.433
angles (deg): 101.08 101.08 114.01
Element x y z (fractional)
Pa1 0.076 0.303 0.574
Pa2 0.246 0.754 0.000
Pa3 0.303 0.076 0.574
Pa4 0.404 0.404 0.158
Pa5 0.596 0.596 0.842
Pa6 0.697 0.924 0.426
Pa7 0.754 0.246 0.000
Pa8 0.924 0.697 0.426
Si1 0.312 0.688 0.500
Si2 0.688 0.312 0.500
Sb1 0.000 0.000 0.000

Computed properties:
The space group is C2/m (12). The calculation puts the volume at 24.37 A^3/atom. The formation energy from raw total energies comes out at -0.143 eV per atom.

---

Record 5
Below is crystalline Nd3HoSb4 at its relaxed geometry, with properties calculated at the PBE level.

a b c (Å): 7.769 7.769 4.490
angles (deg): 90.00 90.00 109.49
Element x y z (fractional)
Nd1 0.000 0.000 0.000
Nd2 0.000 0.500 0.500
Nd3 0.500 0.000 0.500
Ho1 0.500 0.500 0.000
Sb1 0.253 0.747 0.000
Sb2 0.257 0.257 0.500
Sb3 0.743 0.743 0.500
Sb4 0.747 0.253 0.000

Computed properties:
The space group is Cmmm (65). The calculation puts the volume at 31.94 A^3/atom. The formation energy from raw total energies comes out at -1.164 eV per atom.

---

Record 6
Below is crystalline NiAg2Os at its relaxed geometry, with properties calculated at the PBE level.

a b c (Å): 2.717 2.717 9.441
angles (deg): 90.00 90.00 117.76
Element x y z (fractional)
Ni1 0.000 0.000 0.000
Ag1 0.000 0.000 0.516
Ag2 0.500 0.500 0.244
Os1 0.500 0.500 0.786

Computed properties:
The formation energy is 420.0 meV/atom. The space group is Cmm2 (35). The calculation puts the energy above the most stable polymorph in this dataset at 106.0 meV/atom. The calculation puts the volume at 15.42 A^3/atom.

---

Record 7
Below is crystalline LiCa2CoC at its relaxed geometry, with properties calculated at the PBE level.

a b c (Å): 5.177 5.177 3.654
angles (deg): 90.00 90.00 90.00
Element x y z (fractional)
Li1 0.000 0.000 0.000
Ca1 0.000 0.500 0.500
Ca2 0.500 0.000 0.500
Co1 0.500 0.500 0.000
C1 0.500 0.500 0.500

Computed properties:
The formation energy is 25.5 meV/atom. The space group is P4/mmm (123). The calculation puts the volume at 19.59 A^3/atom.

---

Record 8
Below is crystalline Cd2HgPd2 at its relaxed geometry, with properties calculated at the PBE level.

a b c (Å): 4.750 4.750 5.991
angles (deg): 119.31 119.31 55.72
Element x y z (fractional)
Cd1 0.204 0.204 0.126
Cd2 0.796 0.796 0.874
Hg1 0.000 0.000 0.500
Pd1 0.409 0.409 0.709
Pd2 0.591 0.591 0.291

Computed properties:
The formation energy is -233.5 meV/atom. The space group is C2/m (12). The calculation puts the energy above the most stable polymorph in this dataset at 30.2 meV/atom. The calculation puts the volume at 18.60 A^3/atom.

---

Record 9
Below is crystalline AcAs4Pd6 at its relaxed geometry, with properties calculated at the PBE level.

a b c (Å): 7.388 7.388 4.203
angles (deg): 90.00 90.00 120.00
Element x y z (fractional)
Ac1 0.000 0.000 0.000
As1 0.333 0.667 0.000
As2 0.388 0.194 0.500
As3 0.806 0.194 0.500
As4 0.806 0.612 0.500
Pd1 0.201 0.401 0.500
Pd2 0.201 0.799 0.500
Pd3 0.535 0.071 0.000
Pd4 0.535 0.465 0.000
Pd5 0.599 0.799 0.500
Pd6 0.929 0.465 0.000

Computed properties:
The formation energy is -570.5 meV/atom. The space group is P-6m2 (187). The calculation puts the volume at 18.06 A^3/atom.

---

Record 10
Below is crystalline AsPdO2 at its relaxed geometry, with properties calculated at the PBE level.

a b c (Å): 6.587 6.587 6.587
angles (deg): 27.98 27.98 27.98
Element x y z (fractional)
As1 0.000 0.000 0.000
Pd1 0.500 0.500 0.500
O1 0.393 0.393 0.393
O2 0.607 0.607 0.607

Computed properties:
The space group is R-3m (166). The calculation puts the energy above the most stable polymorph in this dataset at 0.0 meV/atom. The calculation puts the volume at 13.89 A^3/atom. The formation energy from raw total energies comes out at -0.443 eV per atom.

---

Record 11
Below is crystalline AlTl4Mo at its relaxed geometry, with properties calculated at the PBE level.

a b c (Å): 6.227 6.227 6.227
angles (deg): 60.00 60.00 60.00
Element x y z (fractional)
Al1 0.000 0.000 0.000
Tl1 0.375 0.375 0.375
Tl2 0.375 0.375 0.874
Tl3 0.375 0.874 0.375
Tl4 0.874 0.375 0.375
Mo1 0.750 0.750 0.750

Computed properties:
The formation energy is 939.1 meV/atom. The space group is F-43m (216). The calculation puts the volume at 28.46 A^3/atom.

---

Record 12
Below is crystalline GaPdNO2 at its relaxed geometry, with properties calculated at the PBE level.

a b c (Å): 3.816 3.816 3.983
angles (deg): 90.00 90.00 90.00
Element x y z (fractional)
Ga1 0.000 0.000 0.000
Pd1 0.500 0.500 0.500
N1 0.000 0.000 0.500
O1 0.000 0.500 0.000
O2 0.500 0.000 0.000

Computed properties:
The space group is P4/mmm (123). The calculation puts the volume at 11.60 A^3/atom. The formation energy from raw total energies comes out at 0.389 eV per atom.

---

Record 13
Below is crystalline Ag3SeClF at its relaxed geometry, with properties calculated at the PBE level.

a b c (Å): 6.482 6.482 7.729
angles (deg): 104.34 104.34 48.88
Element x y z (fractional)
Ag1 0.003 0.003 0.264
Ag2 0.348 0.348 0.895
Ag3 0.352 0.352 0.415
Ag4 0.648 0.648 0.585
Ag5 0.652 0.652 0.105
Ag6 0.997 0.997 0.736
Se1 0.174 0.174 0.565
Se2 0.826 0.826 0.435
Cl1 0.154 0.154 0.050
Cl2 0.846 0.846 0.950
F1 0.472 0.472 0.223
F2 0.528 0.528 0.777

Computed properties:
The space group is C2/m (12). The calculation puts the volume at 19.62 A^3/atom. The formation energy from raw total energies comes out at -0.487 eV per atom.